{
  "formula": "LaPrMg2",
  "functional": "PBEsol",
  "state": "relaxed",
  "lattice_angstrom": [[0.0000, 3.8834, 3.8834], [3.8834, 0.0000, 3.8834], [3.8834, 3.8834, 0.0000]],
  "species": ["La", "Pr", "Mg", "Mg"],
  "frac_coords": [[0.0000, 0.0000, 0.0000], [0.5000, 0.5000, 0.5000], [0.2500, 0.2500, 0.2500], [0.7500, 0.7500, 0.7500]],
  "dos_at_fermi_per_ev_fu": 3.894,
  "ef_ev_per_atom": -0.1024,
  "volume_a3_per_atom": 29.3,
  "rho_g_cm3": 4.66,
  "magnetic_moment_mub_per_fu": 0.0
}